(1)
Ac3Pm4Y4 | PBE | optimized geometry

POSCAR file:
```
Ac3Pm4Y4
1.0
3.643 0.000 0.411
-0.101 5.788 0.908
-0.292 -0.026 18.950
Pm Ac Y
4 3 4
Direct
0.592 0.092 0.817 Pm
0.735 0.735 0.531 Pm
0.265 0.265 0.469 Pm
0.408 0.908 0.183 Pm
0.863 0.363 0.274 Ac
0.137 0.637 0.726 Ac
0.000 0.000 0.000 Ac
0.317 0.817 0.365 Y
0.454 0.454 0.091 Y
0.546 0.546 0.909 Y
0.683 0.183 0.635 Y
```

* total energy: -56.57 eV for the cell shown



(2)
Ac2PmZn2 | PBE | optimized geometry

POSCAR file:
```
Ac2PmZn2
1.0
-0.693 -2.337 -2.914
2.937 -2.233 1.093
-5.173 -6.834 6.712
Zn Ac Pm
2 2 1
Direct
0.500 0.424 0.152 Zn
0.500 0.576 0.848 Zn
0.000 0.170 0.661 Ac
0.000 0.830 0.339 Ac
0.000 0.000 0.000 Pm
```

* total energy: -16.30 eV for the cell shown



(3)
Ac4PmZn5 | PBE | optimized geometry

POSCAR file:
```
Ac4PmZn5
1.0
3.867 0.000 0.000
0.000 3.867 0.000
0.000 0.000 19.233
Zn Ac Pm
5 4 1
Direct
0.500 0.500 0.704 Zn
0.500 0.500 0.915 Zn
0.500 0.500 0.296 Zn
0.500 0.500 0.085 Zn
0.500 0.500 0.500 Zn
0.000 0.000 0.808 Ac
0.000 0.000 0.398 Ac
0.000 0.000 0.192 Ac
0.000 0.000 0.602 Ac
0.000 0.000 0.000 Pm
```

* total energy: -30.06 eV for the cell shown



(4)
Ac2PmZn | PBE | optimized geometry

POSCAR file:
```
Ac2PmZn
1.0
3.800 0.000 0.000
1.900 3.291 0.000
1.900 1.097 12.664
Zn Pm Ac
1 1 2
Direct
0.000 0.000 0.000 Zn
0.500 0.500 0.500 Pm
0.087 0.087 0.740 Ac
0.913 0.913 0.260 Ac
```

* total energy: -13.08 eV for the cell shown
* energy above the lowest structure with this stoichiometry: 402 meV/atom



(5)
AcPm5Zn6 | PBE | optimized geometry

POSCAR file:
```
AcPm5Zn6
1.0
4.954 -0.030 1.651
0.040 7.413 0.013
-0.011 -0.015 8.292
Zn Ac Pm
6 1 5
Direct
0.500 0.737 0.000 Zn
0.172 0.259 0.657 Zn
0.500 0.263 0.000 Zn
0.828 0.741 0.343 Zn
0.172 0.741 0.657 Zn
0.828 0.259 0.343 Zn
0.000 0.000 0.000 Ac
0.000 0.500 0.000 Pm
0.668 0.000 0.664 Pm
0.332 0.000 0.336 Pm
0.665 0.500 0.670 Pm
0.335 0.500 0.330 Pm
```

* total energy: -39.00 eV for the cell shown



(6)
AcPm2Zn | PBE | optimized geometry

POSCAR file:
```
AcPm2Zn
1.0
5.614 0.000 0.000
2.807 4.862 0.000
2.807 1.621 4.584
Ac Pm Zn
1 2 1
Direct
0.000 0.000 0.000 Ac
0.250 0.250 0.250 Pm
0.750 0.750 0.750 Pm
0.500 0.500 0.500 Zn
```

* total energy: -14.32 eV for the cell shown
* energy above the lowest structure with this stoichiometry: 276 meV/atom